Record 1
Entry from OQMD: Pr2SeS3 after structural relaxation (PBE).

## Properties
Total moment: 0.0 μB/cell
Crystal system: monoclinic
Energy: -32.5 eV per formula unit

POSCAR file:
```
Pr2SeS3
1.0
-1.2642 9.8811 -2.1648
-4.9697 8.1531 -3.5706
-3.0642 1.0820 6.7468
Pr S Se
2 3 1
Cartesian
-4.3985 9.5013 -0.0849
-2.8450 1.0498 6.2087
-6.5717 17.0553 -3.6418
-1.2366 1.6109 1.2794
-5.8476 11.0733 1.8025
-4.9321 8.4132 2.6591
```

Record 2
Entry from OQMD: CsTbSeS after structural relaxation (PBE).

## Properties
Total moment: 0.0 μB/cell
Crystal system: trigonal
Energy: -20.2 eV per formula unit

POSCAR file:
```
CsTbSeS
1.0
4.1956 0.0000 0.0000
-2.0978 3.6335 0.0000
0.0000 0.0000 16.4247
Cs S Se Tb
2 2 2 2
Cartesian
0.0000 2.4223 4.2266
2.0978 1.2112 12.1981
2.0978 1.2112 6.7745
0.0000 2.4223 9.6503
2.0978 1.2112 1.5918
0.0000 2.4223 14.8329
0.0000 0.0000 0.0000
0.0000 0.0000 8.2124
```

Record 3
Entry from OQMD: BaBeCo after structural relaxation (PBE).

## Properties
Total moment: 0.7 μB/cell
Relative energy among the computed polymorphs: 103 meV per atom
Crystal system: cubic
Energy: -9.6 eV per formula unit

POSCAR file:
```
BaBeCo
1.0
-2.4948 -3.0553 2.5032
-4.2731 -1.2453 -1.4194
-0.7517 -4.3068 -1.6465
Ba Be Co
1 1 1
Cartesian
-1.8799 -2.1518 -0.1407
0.0000 0.0000 0.0000
-5.6396 -6.4556 -0.4220
```